LiScPa2Se6: optimized geometry, PBE.

```
LiScPa2Se6
1.0
3.503 2.022 6.429
-3.503 2.022 6.429
0.000 -4.045 6.429
Li Sc Pa Se
1 1 2 6
direct
0.000 0.000 0.000
0.488 0.488 0.488
0.305 0.305 0.305
0.810 0.810 0.810
0.090 0.709 0.402
0.230 0.595 0.878
0.402 0.090 0.709
0.595 0.878 0.230
0.709 0.402 0.090
0.878 0.230 0.595
```

Output
DOS at the Fermi energy ... 0.8783 states/eV/atom
Size of the total moment ... 0.21 μB/atom
Formation energy from raw total energies ... -1368 meV/atom


Os6Ru7: optimized geometry, PBE.

```
Os6Ru7
1.0
2.489 1.437 8.827
-2.489 1.437 8.827
0.000 -2.874 8.827
Os Ru
6 7
direct
0.046 0.046 0.046
0.151 0.151 0.151
0.337 0.337 0.337
0.663 0.663 0.663
0.849 0.849 0.849
0.954 0.954 0.954
0.083 0.589 0.589
0.411 0.411 0.917
0.411 0.917 0.411
0.500 0.500 0.500
0.589 0.083 0.589
0.589 0.589 0.083
0.917 0.411 0.411
```

Output
Energy of formation from the pure elements ... 499 meV/atom
DOS at the Fermi energy ... 0.8743 states/eV/atom
Size of the total moment ... 0.00 μB/atom


DOS at the Fermi energy of number 1 (LiScPa2Se6)?
0.8783 states/eV/atom